A geometry-optimized LiMgCuAu structure. Source: Alexandria via LeMat-Bulk, functional PBE.

a = 4.886 Å, b = 4.886 Å, c = 3.919 Å
α = 113.56°, β = 113.56°, γ = 47.29°
Positions (direct):
Li1 0.000 0.000 0.000
Mg1 0.750 0.750 0.250
Cu1 0.250 0.250 0.750
Au1 0.500 0.500 0.501

Properties
Electronic total energy: -3.07 eV/atom
SG: Cm
ΔH_f (0 K): -0.35 eV/atom

---

A geometry-optimized ZrTl6I12 structure. Source: Alexandria via LeMat-Bulk, functional PBE.

a = 9.666 Å, b = 9.666 Å, c = 9.666 Å
α = 97.84°, β = 97.84°, γ = 97.84°
Positions (direct):
Zr1 0.000 0.000 0.000
Tl1 0.158 0.658 0.314
Tl2 0.314 0.158 0.658
Tl3 0.342 0.686 0.842
Tl4 0.658 0.314 0.158
Tl5 0.686 0.842 0.342
Tl6 0.842 0.342 0.686
I1 0.006 0.700 0.944
I2 0.056 0.994 0.300
I3 0.159 0.427 0.572
I4 0.300 0.056 0.994
I5 0.427 0.572 0.159
I6 0.428 0.841 0.573
I7 0.572 0.159 0.427
I8 0.573 0.428 0.841
I9 0.700 0.944 0.006
I10 0.841 0.573 0.428
I11 0.944 0.006 0.700
I12 0.994 0.300 0.056

Properties
ΔE_f (raw): -0.59 eV per atom
Electronic total energy: -2.76 eV/atom
SG: R-3

---

A geometry-optimized Cd2CuAgP structure. Source: Alexandria via LeMat-Bulk, functional PBE.

a = 5.263 Å, b = 5.263 Å, c = 4.647 Å
α = 90.00°, β = 90.00°, γ = 90.00°
Positions (direct):
Cd1 0.000 0.500 0.000
Cd2 0.500 0.000 0.000
Cu1 0.000 0.000 0.500
Ag1 0.500 0.500 0.000
P1 0.500 0.500 0.500

Properties
Electronic total energy: -2.01 eV/atom
SG: P4/mmm
ΔH_f (0 K): 0.82 eV/atom

---

A geometry-optimized AcPmCuOs structure. Source: Alexandria via LeMat-Bulk, functional PBE.

a = 5.126 Å, b = 5.126 Å, c = 5.126 Å
α = 60.00°, β = 60.00°, γ = 60.00°
Positions (direct):
Ac1 0.000 0.000 0.000
Pm1 0.500 0.500 0.500
Cu1 0.750 0.750 0.750
Os1 0.250 0.250 0.250

Properties
Electronic total energy: -6.04 eV/atom
SG: F-43m
ΔH_f (0 K): 0.01 eV/atom

---

A geometry-optimized ReSi2Pt structure. Source: Alexandria via LeMat-Bulk, functional PBE.

a = 6.450 Å, b = 6.450 Å, c = 6.450 Å
α = 128.56°, β = 128.56°, γ = 75.72°
Positions (direct):
Re1 0.000 0.000 0.000
Re2 0.750 0.250 0.500
Si1 0.128 0.625 0.003
Si2 0.375 0.378 0.503
Si3 0.622 0.125 0.997
Si4 0.875 0.872 0.497
Pt1 0.250 0.750 0.500
Pt2 0.500 0.500 0.000

Properties
ΔE_f (raw): 0.31 eV per atom
Energy above the lowest structure with this stoichiometry: 659 meV per atom
Electronic total energy: -7.03 eV/atom
SG: I-42d

---

A geometry-optimized Ta2AlGa2 structure. Source: Alexandria via LeMat-Bulk, functional PBE.

a = 5.279 Å, b = 5.279 Å, c = 7.040 Å
α = 104.61°, β = 104.61°, γ = 59.41°
Positions (direct):
Ta1 0.028 0.304 0.138
Ta2 0.304 0.028 0.638
Ta3 0.696 0.972 0.362
Ta4 0.972 0.696 0.862
Al1 0.245 0.755 0.250
Al2 0.755 0.245 0.750
Ga1 0.239 0.515 0.520
Ga2 0.485 0.761 0.980
Ga3 0.515 0.239 0.020
Ga4 0.761 0.485 0.480

Properties
Energy above the lowest structure with this stoichiometry: 0 meV per atom
Electronic total energy: -6.90 eV/atom
SG: C2/c
ΔH_f (0 K): -0.20 eV/atom

---

A geometry-optimized LiScCo structure. Source: Alexandria via LeMat-Bulk, functional PBE.

a = 4.207 Å, b = 4.207 Å, c = 4.207 Å
α = 60.00°, β = 60.00°, γ = 60.00°
Positions (direct):
Li1 0.000 0.000 0.000
Sc1 0.500 0.500 0.500
Co1 0.750 0.750 0.750

Properties
Energy above the lowest structure with this stoichiometry: 280 meV per atom
Electronic total energy: -4.81 eV/atom
SG: F-43m
ΔH_f (0 K): 0.30 eV/atom

---

A geometry-optimized Ac4NiSe3 structure. Source: Alexandria via LeMat-Bulk, functional PBE.

a = 7.848 Å, b = 7.848 Å, c = 4.321 Å
α = 90.00°, β = 90.00°, γ = 109.04°
Positions (direct):
Ac1 0.225 0.225 0.500
Ac2 0.248 0.752 0.000
Ac3 0.752 0.248 0.000
Ac4 0.775 0.775 0.500
Ni1 0.000 0.000 0.000
Se1 0.000 0.500 0.500
Se2 0.500 0.000 0.500
Se3 0.500 0.500 0.000

Properties
ΔE_f (raw): -1.43 eV per atom
Electronic total energy: -5.51 eV/atom
SG: Cmmm